Entry 1:
{"formula": "LaFe2Sb", "functional": "PBE-GGA", "state": "optimized geometry", "lattice_angstrom": [[3.563, 0.000, 0.000], [0.000, 3.538, 0.243], [0.000, 3.090, 6.763]], "species": ["Fe", "Fe", "La", "Sb"], "fractional_positions": [[0.000, 0.068, 0.933], [0.000, 0.432, 0.567], [0.500, 0.250, 0.250], [0.500, 0.750, 0.750]], "crystal_system": "orthorhombic", "volume_a3_per_atom": 20.649}

---

Entry 2:
{"formula": "Pr2TiAs4Rh3", "functional": "PBE-GGA", "state": "optimized geometry", "lattice_angstrom": [[-3.096, -2.062, 2.172], [2.620, -3.379, 0.526], [3.478, 4.071, 8.825]], "species": ["Pr", "Rh", "As", "As", "As", "Rh", "Rh", "Ti", "Pr", "As"], "fractional_positions": [[0.000, 0.500, 0.765], [0.500, 0.000, 0.882], [0.000, 0.500, 0.361], [0.000, 0.000, 0.000], [0.500, 0.000, 0.639], [0.000, 0.500, 0.118], [0.000, 0.000, 0.500], [0.500, 0.500, 0.500], [0.500, 0.000, 0.235], [0.500, 0.500, 0.000]], "crystal_system": "tetragonal", "ef_mev_per_atom": -949, "volume_a3_per_atom": 19.153}

---

Entry 3:
{"formula": "TbHg8", "functional": "PBE-GGA", "state": "optimized geometry", "lattice_angstrom": [[4.203, 0.000, 1.393], [2.102, 7.135, 0.696], [-0.143, 0.000, 7.469]], "species": ["Hg", "Hg", "Hg", "Hg", "Tb", "Hg", "Hg", "Hg", "Hg"], "fractional_positions": [[0.000, 0.333, 0.667], [0.000, 0.667, 0.333], [0.666, 0.000, 0.668], [0.334, 0.000, 0.332], [0.000, 0.000, 0.000], [0.333, 0.667, 0.667], [0.667, 0.333, 0.333], [0.334, 0.332, 0.000], [0.666, 0.668, 0.000]], "crystal_system": "tetragonal", "ef_mev_per_atom": -138, "volume_a3_per_atom": 25.048}

---

Entry 4:
{"formula": "Sm4PbS2N", "functional": "PBE-GGA", "state": "optimized geometry", "lattice_angstrom": [[7.276, 0.000, 0.000], [3.638, 5.442, 0.068], [3.638, 0.513, 5.419]], "species": ["Sm", "S", "N", "Sm", "Sm", "S", "Pb", "Sm"], "fractional_positions": [[0.520, 0.480, 0.849], [0.250, 0.250, 0.250], [0.500, 0.500, 0.500], [0.849, 0.520, 0.151], [0.151, 0.849, 0.480], [0.750, 0.750, 0.750], [0.000, 0.000, 0.000], [0.480, 0.151, 0.520]], "crystal_system": "tetragonal", "volume_a3_per_atom": 26.789}

---

Entry 5:
{"formula": "CeNdGa", "functional": "PBE-GGA", "state": "optimized geometry", "lattice_angstrom": [[-1.754, -0.491, 4.712], [2.076, -3.379, 3.129], [2.792, 1.561, 3.910]], "species": ["Ce", "Ga", "Nd"], "fractional_positions": [[0.500, 0.500, 0.500], [0.250, 0.250, 0.250], [0.000, 0.000, 0.000]], "crystal_system": "cubic", "ef_mev_per_atom": -149, "volume_a3_per_atom": 30.380, "polymorph_energy_mev_per_atom": 242}

---

Entry 6:
{"formula": "NbAl3Ga", "functional": "PBE-GGA", "state": "optimized geometry", "lattice_angstrom": [[5.076, 0.000, 0.000], [0.000, 5.076, 0.000], [0.000, 0.000, 5.076]], "species": ["Al", "Al", "Nb", "Al", "Ga"], "fractional_positions": [[0.000, 0.000, 0.500], [0.000, 0.500, 0.000], [0.000, 0.000, 0.000], [0.500, 0.000, 0.000], [0.500, 0.500, 0.500]], "crystal_system": "cubic", "ef_mev_per_atom": 743, "volume_a3_per_atom": 26.161, "polymorph_energy_mev_per_atom": 801}

---

Entry 7:
{"formula": "PuCd5Au6", "functional": "PBE-GGA", "state": "optimized geometry", "lattice_angstrom": [[-1.964, 4.533, 6.862], [0.986, -1.322, 4.595], [6.921, 2.735, 1.894]], "species": ["Au", "Au", "Pu", "Au", "Cd", "Cd", "Cd", "Au", "Cd", "Au", "Au", "Cd"], "fractional_positions": [[0.258, 0.570, 0.343], [0.742, 0.430, 0.657], [0.000, 0.000, 0.000], [0.739, 0.760, 0.000], [0.500, 0.500, 0.000], [0.000, 0.334, 0.333], [0.500, 0.837, 0.326], [0.258, 0.913, 0.657], [0.000, 0.666, 0.667], [0.742, 0.087, 0.343], [0.261, 0.240, 0.000], [0.500, 0.163, 0.674]], "crystal_system": "monoclinic", "ef_mev_per_atom": -211, "volume_a3_per_atom": 20.549}

---

Entry 8:
{"formula": "Pm2Pr2Zn3", "functional": "PBE-GGA", "state": "optimized geometry", "lattice_angstrom": [[-3.887, -1.272, 3.203], [0.803, -2.763, -4.312], [7.448, -3.249, 3.463]], "species": ["Pm", "Pm", "Pr", "Zn", "Zn", "Pr", "Zn"], "fractional_positions": [[0.256, 0.128, 0.383], [0.744, 0.872, 0.617], [0.760, 0.380, 0.140], [0.497, 0.749, 0.245], [0.000, 0.000, 0.000], [0.240, 0.620, 0.860], [0.503, 0.251, 0.755]], "crystal_system": "triclinic", "ef_mev_per_atom": -171, "volume_a3_per_atom": 27.655}

---

Number 1: VASP energy -6.337 eV per atom. Number 2: VASP energy -6.759 eV per atom. Number 3: VASP energy -0.921 eV per atom. Number 4: VASP energy -6.200 eV per atom. Number 5: VASP energy -4.725 eV per atom. Number 6: VASP energy -4.122 eV per atom. Number 7: VASP energy -3.425 eV per atom. Number 8: VASP energy -3.440 eV per atom.